[1]
Entry from the Alexandria database: a relaxed HfNi3Os crystal (PBE-GGA).

Geometry as POSCAR:
```
HfNi3Os
1.0
4.4471 0.0000 0.0000
0.0000 4.4471 0.0000
0.0000 0.0000 4.4471
Hf Ni Os
1 3 1
Direct
0.0000 0.0000 0.0000
0.0000 0.5000 0.5000
0.5000 0.0000 0.5000
0.5000 0.5000 0.0000
0.5000 0.5000 0.5000
```

---

[2]
Entry from the Alexandria database: a relaxed HfNi3Os crystal (PBE-GGA).

Geometry as POSCAR:
```
HfNi3Os
1.0
4.3878 0.0000 0.0000
0.0000 4.3878 0.0000
0.0000 0.0000 4.3878
Hf Ni Os
1 3 1
Direct
0.0000 0.0000 0.0000
0.0000 0.0000 0.5000
0.0000 0.5000 0.0000
0.5000 0.0000 0.0000
0.5000 0.5000 0.5000
```

---

[3]
Entry from the Alexandria database: a relaxed Hf2NiOs crystal (PBE-GGA).

Geometry as POSCAR:
```
Hf2NiOs
1.0
7.0601 0.0000 0.0000
0.0000 7.0601 0.0000
0.0000 0.0000 5.7205
Hf Ni Os
8 4 4
Direct
0.2418 0.2500 0.1250
0.2500 0.7418 0.3750
0.2500 0.7582 0.8750
0.2582 0.2500 0.6250
0.7418 0.7500 0.6250
0.7500 0.2418 0.8750
0.7500 0.2582 0.3750
0.7582 0.7500 0.1250
0.0000 0.0000 0.0000
0.0000 0.5000 0.2500
0.5000 0.0000 0.7500
0.5000 0.5000 0.5000
0.0000 0.0000 0.5000
0.0000 0.5000 0.7500
0.5000 0.0000 0.2500
0.5000 0.5000 0.0000
```

---

[4]
Entry from the Alexandria database: a relaxed HfNi4Os crystal (PBE-GGA).

Geometry as POSCAR:
```
HfNi4Os
1.0
0.0000 3.3695 3.3695
3.3695 0.0000 3.3695
3.3695 3.3695 0.0000
Hf Ni Os
1 4 1
Direct
0.0000 0.0000 0.0000
0.3759 0.3759 0.3759
0.3759 0.3759 0.8722
0.3759 0.8722 0.3759
0.8722 0.3759 0.3759
0.7500 0.7500 0.7500
```

---

[5]
Entry from the Alexandria database: a relaxed Hf6NiOs5 crystal (PBE-GGA).

Geometry as POSCAR:
```
Hf6NiOs5
1.0
7.2826 -3.2317 0.0000
7.2826 3.2317 0.0000
-1.4516 0.0000 4.3726
Hf Ni Os
6 1 5
Direct
0.0827 0.5857 0.3341
0.2474 0.7526 0.0000
0.4143 0.9173 0.6659
0.5857 0.0827 0.3341
0.7526 0.2474 0.0000
0.9173 0.4143 0.6659
0.0000 0.0000 0.5000
0.1669 0.1669 0.1670
0.3340 0.3340 0.8340
0.5000 0.5000 0.5000
0.6660 0.6660 0.1660
0.8331 0.8331 0.8330
```

---

[6]
Entry from the Alexandria database: a relaxed Hf2NiOs crystal (PBE-GGA).

Geometry as POSCAR:
```
Hf2NiOs
1.0
4.5636 0.0000 0.0000
0.0000 4.5636 0.0000
0.0000 0.0000 3.2281
Hf Ni Os
2 1 1
Direct
0.0000 0.5000 0.0000
0.5000 0.0000 0.0000
0.0000 0.0000 0.5000
0.5000 0.5000 0.5000
```

---

Quick rundown of calculated density, same order as above: 10.29, 10.71, 14.11, 13.10, 16.79, 14.97 g/cm³
Quick rundown of VASP energy, same order as above: -6.736, -6.060, -9.168, -7.623, -10.782, -9.793 eV per atom